No. 1
Material: Nb6Re2Tc
Method: DFT, GGA-PBE
State: optimized geometry

Lattice parameters (Å, degrees): 4.379 6.252 7.614 114.24 106.77 90.00
Positions (direct):
Re1 0.666 0.666 0.333
Re2 0.334 0.334 0.667
Nb1 0.166 0.917 0.333
Nb2 0.500 0.250 0.000
Nb3 0.834 0.083 0.667
Nb4 0.834 0.585 0.667
Nb5 0.500 0.750 0.000
Nb6 0.166 0.415 0.333
Tc1 0.000 0.000 0.000

Properties
ΔH_f (0 K) = 0.356 eV/atom
Crystal system = monoclinic
Space group = C2/m, No. 12

No. 2
Material: VGaSeBr2
Method: DFT, GGA-PBE
State: optimized geometry

Lattice parameters (Å, degrees): 5.291 5.291 4.802 90.00 90.00 90.00
Positions (direct):
Br1 0.000 0.500 0.000
Br2 0.500 0.000 0.000
Se1 0.000 0.000 0.500
Ga1 0.500 0.500 0.500
V1 0.000 0.000 0.000

Properties
Formation energy (no corrections) = -2.06 eV/f.u.
Crystal system = tetragonal
Space group = P4/mmm, No. 123

No. 3
Material: Na4Pb3F8
Method: DFT, GGA-PBE
State: optimized geometry

Lattice parameters (Å, degrees): 7.003 7.335 7.335 93.88 118.74 118.74
Positions (direct):
Na1 0.000 0.000 0.500
Na2 0.000 0.500 0.000
Na3 0.500 0.000 0.000
Na4 0.000 0.000 0.000
F1 0.500 0.199 0.801
F2 0.458 0.209 0.209
F3 0.500 0.801 0.199
F4 0.997 0.770 0.770
F5 0.000 0.773 0.227
F6 0.003 0.230 0.230
F7 0.000 0.227 0.773
F8 0.542 0.791 0.791
Pb1 0.500 0.500 0.500
Pb2 0.500 0.000 0.500
Pb3 0.500 0.500 0.000

Properties
Formation energy (no corrections) = -33.00 eV/f.u.
Crystal system = monoclinic
Space group = C2/m, No. 12

No. 4
Material: PrZrP
Method: DFT, GGA-PBE
State: optimized geometry

Lattice parameters (Å, degrees): 5.824 7.002 7.301 71.86 90.00 90.00
Positions (direct):
Zr1 0.125 0.059 0.795
Zr2 0.875 0.941 0.205
Zr3 0.375 0.059 0.295
Zr4 0.625 0.941 0.705
Pr1 0.131 0.645 0.635
Pr2 0.869 0.355 0.365
Pr3 0.631 0.355 0.865
Pr4 0.369 0.645 0.135
P1 0.881 0.714 0.981
P2 0.119 0.286 0.019
P3 0.381 0.286 0.519
P4 0.619 0.714 0.481

Properties
ΔH_f (0 K) = -0.928 eV/atom
Crystal system = monoclinic
Space group = P2_1/c, No. 14

No. 5
Material: PrDy5Rh6
Method: DFT, GGA-PBE
State: optimized geometry

Lattice parameters (Å, degrees): 4.849 6.974 7.685 90.00 71.59 90.00
Positions (direct):
Dy1 0.668 0.000 0.664
Dy2 0.333 0.500 0.334
Dy3 0.000 0.500 0.000
Dy4 0.332 0.000 0.336
Dy5 0.667 0.500 0.666
Rh1 0.830 0.253 0.339
Rh2 0.830 0.747 0.339
Rh3 0.500 0.259 0.000
Rh4 0.170 0.747 0.661
Rh5 0.170 0.253 0.661
Rh6 0.500 0.741 0.000
Pr1 0.000 0.000 0.000

Properties
ΔH_f (0 K) = -0.819 eV/atom
Crystal system = orthorhombic
Space group = Cmmm, No. 65

No. 6
Material: TbPr8Dy6
Method: DFT, GGA-PBE
State: optimized geometry

Lattice parameters (Å, degrees): 6.625 9.498 9.498 120.00 90.00 90.00
Positions (direct):
Dy1 0.657 0.906 0.562
Dy2 0.657 0.657 0.094
Dy3 0.343 0.094 0.438
Dy4 0.657 0.438 0.343
Dy5 0.343 0.562 0.657
Dy6 0.343 0.343 0.906
Pr1 0.168 0.962 0.712
Pr2 0.168 0.288 0.250
Pr3 0.168 0.750 0.038
Pr4 0.832 0.712 0.750
Pr5 0.120 0.667 0.333
Pr6 0.880 0.333 0.667
Pr7 0.832 0.250 0.962
Pr8 0.832 0.038 0.288
Tb1 0.500 0.000 0.000

Properties
ΔH_f (0 K) = 0.173 eV/atom
Crystal system = trigonal
Space group = P-3, No. 147

No. 7
Material: Ce2VAg
Method: DFT, GGA-PBE
State: optimized geometry

Lattice parameters (Å, degrees): 2.953 2.953 10.970 82.26 82.26 60.00
Positions (direct):
Ce1 0.921 0.921 0.236
Ce2 0.079 0.079 0.764
Ag1 0.500 0.500 0.500
V1 0.000 0.000 0.000

Properties
ΔH_f (0 K) = 0.336 eV/atom
Crystal system = trigonal
Space group = R-3m, No. 166

No. 8
Material: Na4Mg
Method: DFT, GGA-PBE
State: optimized geometry

Lattice parameters (Å, degrees): 9.675 9.675 9.675 153.38 153.38 38.00
Positions (direct):
Na1 0.750 0.250 0.500
Na2 0.250 0.750 0.500
Na3 0.409 0.409 0.000
Na4 0.591 0.591 0.000
Mg1 0.000 0.000 0.000

Properties
ΔH_f (0 K) = 0.195 eV/atom
Crystal system = tetragonal
Space group = I4/mmm, No. 139

No. 9
Material: YTl2Pb
Method: DFT, GGA-PBE
State: optimized geometry

Lattice parameters (Å, degrees): 10.548 10.548 10.548 19.95 19.95 19.95
Positions (direct):
Pb1 0.750 0.750 0.750
Y1 0.250 0.250 0.250
Tl1 0.999 0.999 0.999
Tl2 0.501 0.501 0.501

Properties
ΔH_f (0 K) = -0.062 eV/atom
Crystal system = trigonal
Space group = R-3m, No. 166

No. 10
Material: Li3MgN
Method: DFT, GGA-PBE
State: optimized geometry

Lattice parameters (Å, degrees): 4.083 4.083 4.083 90.00 90.00 90.00
Positions (direct):
Li1 0.000 0.000 0.500
Li2 0.000 0.500 0.000
Li3 0.500 0.000 0.000
Mg1 0.500 0.500 0.500
N1 0.000 0.000 0.000

Properties
Formation energy (no corrections) = -0.36 eV/f.u.
Crystal system = cubic
Space group = Pm-3m, No. 221

No. 11
Material: Pt12Rh5Au
Method: DFT, GGA-PBE
State: optimized geometry

Lattice parameters (Å, degrees): 8.369 8.361 4.841 73.20 90.00 59.97
Positions (direct):
Pt1 0.002 0.664 0.002
Pt2 0.499 0.333 0.501
Pt3 0.335 0.664 0.002
Pt4 0.663 0.000 0.000
Pt5 0.169 0.000 0.500
Pt6 0.832 0.667 0.499
Pt7 0.501 0.667 0.499
Pt8 0.337 0.000 0.000
Pt9 0.168 0.333 0.501
Pt10 0.665 0.336 0.998
Pt11 0.831 0.000 0.500
Pt12 0.998 0.336 0.998
Rh1 0.334 0.332 0.003
Rh2 0.500 0.000 0.500
Rh3 0.666 0.668 0.997
Rh4 0.169 0.662 0.510
Rh5 0.831 0.338 0.490
Au1 0.000 0.000 0.000

Properties
ΔH_f (0 K) = -0.004 eV/atom
Crystal system = monoclinic
Space group = C2/m, No. 12

No. 12
Material: DyHo12Er3
Method: DFT, GGA-PBE
State: optimized geometry

Lattice parameters (Å, degrees): 4.970 4.970 19.867 90.00 90.00 90.00
Positions (direct):
Ho1 0.500 0.500 0.500
Ho2 0.500 0.000 0.625
Ho3 0.000 0.500 0.125
Ho4 0.000 0.500 0.625
Ho5 0.500 0.000 0.125
Ho6 0.500 0.500 0.250
Ho7 0.500 0.000 0.375
Ho8 0.000 0.500 0.875
Ho9 0.000 0.500 0.375
Ho10 0.500 0.500 0.000
Ho11 0.500 0.500 0.750
Ho12 0.500 0.000 0.875
Er1 0.000 0.000 0.500
Er2 0.000 0.000 0.250
Er3 0.000 0.000 0.750
Dy1 0.000 0.000 0.000

Properties
ΔH_f (0 K) = 0.020 eV/atom
Crystal system = tetragonal
Space group = P4/mmm, No. 123